# PBE-GGA Sm3DyY7, optimized geometry
data_Sm3DyY7
_cell_length_a 6.9348
_cell_length_b 5.5550
_cell_length_c 10.0717
_cell_angle_alpha 90.00
_cell_angle_beta 109.06
_cell_angle_gamma 90.00
_symmetry_space_group_name_H-M 'P 1'
_symmetry_Int_Tables_number 1
_symmetry_space_group_name_Hall 'P 1'
loop_
_atom_site_label
_atom_site_type_symbol
_atom_site_fract_x
_atom_site_fract_y
_atom_site_fract_z
Sm1 Sm 0.0000 0.0000 0.0000
Sm2 Sm 0.2796 0.5000 0.4955
Sm3 Sm 0.7204 0.5000 0.5045
Dy1 Dy 0.5000 0.0000 0.0000
Y1 Y 0.0000 0.0000 0.5000
Y2 Y 0.1497 0.5000 0.7878
Y3 Y 0.3174 0.5000 0.1351
Y4 Y 0.4247 0.0000 0.3292
Y5 Y 0.5753 0.0000 0.6708
Y6 Y 0.6826 0.5000 0.8649
Y7 Y 0.8503 0.5000 0.2122
# Volume in Å³/atom: 33.34
# Spin magnetization in Bohr magnetons per cell: 0.0
# Calculated total energy in eV per atom: -5.676